[1]
Material: MgSc2Ru
Method: DFT, meta-GGA SCAN
State: single point on PBEsol structure

```
data_MgSc2Ru
_cell_length_a 3.0602
_cell_length_b 3.0602
_cell_length_c 29.7922
_cell_angle_alpha 90.00
_cell_angle_beta 90.00
_cell_angle_gamma 120.00
_symmetry_space_group_name_H-M 'R -3 m'
_symmetry_Int_Tables_number 166
_symmetry_space_group_name_Hall '-R 3 2"'
loop_
_atom_site_label
_atom_site_type_symbol
_atom_site_fract_x
_atom_site_fract_y
_atom_site_fract_z
_atom_site_occupancy
Mg1 Mg 0.0000 0.0000 0.0000 1
Sc1 Sc 0.0000 0.0000 0.4224 1
Ru1 Ru 0.0000 0.0000 0.5000 1
```

[2]
Material: Zr2NiAs
Method: DFT, meta-GGA SCAN
State: single point on PBEsol structure

```
data_Zr2NiAs
_cell_length_a 3.7418
_cell_length_b 3.6686
_cell_length_c 10.0148
_cell_angle_alpha 90.00
_cell_angle_beta 90.00
_cell_angle_gamma 90.00
_symmetry_space_group_name_H-M 'A m m 2'
_symmetry_Int_Tables_number 38
loop_
_symmetry_equiv_pos_as_xyz
'x,y,z'
'-x,-y,z'
'-x,y,z'
'x,-y,z'
'x,y+1/2,z+1/2'
'-x,-y+1/2,z+1/2'
'-x,y+1/2,z+1/2'
'x,-y+1/2,z+1/2'
loop_
_atom_site_label
_atom_site_type_symbol
_atom_site_fract_x
_atom_site_fract_y
_atom_site_fract_z
_atom_site_occupancy
Zr1 Zr 0.0000 0.0000 0.0000 1
Zr2 Zr 0.5000 0.0000 0.2962 1
Ni1 Ni 0.5000 0.0000 0.5707 1
As1 As 0.0000 0.0000 0.7202 1
```

[3]
# meta-GGA SCAN Cd2AgSe, single point on PBEsol structure
data_Cd2AgSe
_cell_length_a 2.9681
_cell_length_b 4.2009
_cell_length_c 6.6035
_cell_angle_alpha 90.00
_cell_angle_beta 90.00
_cell_angle_gamma 90.00
_symmetry_space_group_name_H-M 'P m m 2'
_symmetry_Int_Tables_number 25
loop_
_symmetry_equiv_pos_as_xyz
'x,y,z'
'-x,-y,z'
'-x,y,z'
'x,-y,z'
loop_
_atom_site_label
_atom_site_type_symbol
_atom_site_fract_x
_atom_site_fract_y
_atom_site_fract_z
_atom_site_occupancy
Cd1 Cd 0.0000 0.0000 0.0000 1
Cd2 Cd 0.5000 0.5000 0.2483 1
Ag1 Ag 0.5000 0.5000 0.8010 1
Se1 Se 0.5000 0.0000 0.5345 1
# E_form (uncorrected)   -1 kJ per mole of atoms

[4]
Material: BaSrTa
Method: DFT, meta-GGA SCAN
State: single point on PBEsol structure

```
data_BaSrTa
_cell_length_a 7.8609
_cell_length_b 7.8609
_cell_length_c 7.8609
_cell_angle_alpha 90.00
_cell_angle_beta 90.00
_cell_angle_gamma 90.00
_symmetry_space_group_name_H-M 'F -4 3 m'
_symmetry_Int_Tables_number 216
_symmetry_space_group_name_Hall 'F -4 2 3'
loop_
_atom_site_label
_atom_site_type_symbol
_atom_site_fract_x
_atom_site_fract_y
_atom_site_fract_z
_atom_site_occupancy
Ba1 Ba 0.0000 0.0000 0.0000 1
Sr1 Sr 0.2500 0.2500 0.2500 1
Ta1 Ta 0.0000 0.0000 0.5000 1
```

[5]
# meta-GGA SCAN YCrAs2, single point on PBEsol structure
data_YCrAs2
_cell_length_a 3.8797
_cell_length_b 3.8797
_cell_length_c 17.6790
_cell_angle_alpha 90.00
_cell_angle_beta 90.00
_cell_angle_gamma 120.00
_symmetry_space_group_name_H-M 'R -3 m'
_symmetry_Int_Tables_number 166
_symmetry_space_group_name_Hall '-R 3 2"'
loop_
_atom_site_label
_atom_site_type_symbol
_atom_site_fract_x
_atom_site_fract_y
_atom_site_fract_z
_atom_site_occupancy
Y1 Y 0.0000 0.0000 0.0000 1
Cr1 Cr 0.0000 0.0000 0.5000 1
As1 As 0.0000 0.0000 0.2351 1
# Energy relative to the lowest polymorph listed for this composition   0 kJ/mol of formula units

[6]
Material: RbMgBi2
Method: DFT, meta-GGA SCAN
State: single point on PBEsol structure

```
data_RbMgBi2
_cell_length_a 5.8472
_cell_length_b 5.8472
_cell_length_c 19.2606
_cell_angle_alpha 90.00
_cell_angle_beta 90.00
_cell_angle_gamma 90.00
_symmetry_space_group_name_H-M 'I -4 2 d'
_symmetry_Int_Tables_number 122
_symmetry_space_group_name_Hall 'I -4 2bw'
loop_
_atom_site_label
_atom_site_type_symbol
_atom_site_fract_x
_atom_site_fract_y
_atom_site_fract_z
_atom_site_occupancy
Rb1 Rb 0.0000 0.0000 0.0000 1
Mg1 Mg 0.0000 0.0000 0.5000 1
Bi1 Bi 0.1214 0.2500 0.6250 1
```

[7]
# meta-GGA SCAN Cs2NaGaCl6, single point on PBEsol structure
data_Cs2NaGaCl6
_cell_length_a 10.2634
_cell_length_b 10.2634
_cell_length_c 10.2634
_cell_angle_alpha 90.00
_cell_angle_beta 90.00
_cell_angle_gamma 90.00
_symmetry_space_group_name_H-M 'F m -3 m'
_symmetry_Int_Tables_number 225
_symmetry_space_group_name_Hall '-F 4 2 3'
loop_
_atom_site_label
_atom_site_type_symbol
_atom_site_fract_x
_atom_site_fract_y
_atom_site_fract_z
_atom_site_occupancy
Cs1 Cs 0.2500 0.2500 0.2500 1
Na1 Na 0.0000 0.0000 0.0000 1
Ga1 Ga 0.0000 0.0000 0.5000 1
Cl1 Cl 0.0000 0.0000 0.2688 1
# E_form (uncorrected)   -178 kJ per mole of atoms

[8]
# meta-GGA SCAN Ba2CrOs, single point on PBEsol structure
data_Ba2CrOs
_cell_length_a 4.9462
_cell_length_b 4.9462
_cell_length_c 4.3989
_cell_angle_alpha 90.00
_cell_angle_beta 90.00
_cell_angle_gamma 90.00
_symmetry_space_group_name_H-M 'P 4/m m m'
_symmetry_Int_Tables_number 123
_symmetry_space_group_name_Hall '-P 4 2'
loop_
_atom_site_label
_atom_site_type_symbol
_atom_site_fract_x
_atom_site_fract_y
_atom_site_fract_z
_atom_site_occupancy
Ba1 Ba 0.0000 0.5000 0.0000 1
Cr1 Cr 0.0000 0.0000 0.5000 1
Os1 Os 0.5000 0.5000 0.5000 1
# Energy relative to the lowest polymorph listed for this composition   261 kJ/mol of formula units

Number 1: uncorrected energy -201.54 eV for the cell shown. Number 2: uncorrected energy -203.00 eV for the cell shown. Number 3: uncorrected energy -112.30 eV for the cell shown. Number 4: uncorrected energy -492.45 eV for the cell shown. Number 5: uncorrected energy -272.23 eV for the cell shown. Number 6: uncorrected energy -734.16 eV for the cell shown. Number 7: uncorrected energy -649.90 eV for the cell shown. Number 8: uncorrected energy -165.29 eV for the cell shown.